1.
La2DyScSe4 | the Alexandria database | GGA-PBE | optimized geometry; VASP energy = -0.22654 Ha/atom; spin magnetization = 0.00 μB/atom; volume = 25.2 A^3/atom
1.0
7.104 0.000 0.000
0.000 4.077 0.000
-2.347 0.000 6.958
La Dy Sc Se
2 1 1 4
direct
0.000 0.000 0.000
0.500 0.500 0.000
0.000 0.500 0.500
0.500 0.000 0.500
0.249 0.000 0.726
0.267 0.500 0.279
0.733 0.500 0.721
0.751 0.000 0.274


2.
Y2ZrCu | the Alexandria database | GGA-PBE | optimized geometry; spin magnetization = 0.00 μB/atom; volume = 23.9 A^3/atom; energy above the lowest structure with this stoichiometry = 0.265 eV per atom; formation enthalpy at 0 K = 0.201 eV/atom
1.0
-2.202 2.202 4.940
2.202 -2.202 4.940
2.202 2.202 -4.940
Y Zr Cu
2 1 1
direct
0.000 0.000 0.000
0.750 0.250 0.500
0.250 0.750 0.500
0.500 0.500 0.000


3.
Ti2Te6Ir | the Alexandria database | GGA-PBE | optimized geometry; spin magnetization = 0.00 μB/atom; volume = 24.7 A^3/atom; energy above the lowest structure with this stoichiometry = 0.143 eV per atom
1.0
6.987 0.000 0.000
0.000 6.914 0.000
-6.509 0.000 9.216
Ti Te Ir
4 12 2
direct
0.221 0.153 0.246
0.221 0.347 0.746
0.779 0.653 0.254
0.779 0.847 0.754
0.095 0.164 0.924
0.095 0.336 0.424
0.267 0.666 0.925
0.267 0.834 0.425
0.419 0.003 0.759
0.419 0.497 0.259
0.581 0.503 0.741
0.581 0.997 0.241
0.733 0.166 0.575
0.733 0.334 0.075
0.905 0.664 0.576
0.905 0.836 0.076
0.000 0.000 0.500
0.000 0.500 0.000


4.
InSnBr2F | the Alexandria database | GGA-PBE | optimized geometry; spin magnetization = 0.00 μB/atom; volume = 32.3 A^3/atom; energy above the lowest structure with this stoichiometry = 0.056 eV per atom
1.0
5.964 0.000 0.000
0.000 5.964 0.000
0.000 0.000 4.546
In Sn Br F
1 1 2 1
direct
0.000 0.000 0.000
0.500 0.500 0.500
0.000 0.500 0.500
0.500 0.000 0.500
0.500 0.500 0.000


5.
NdPuTc4 | the Alexandria database | GGA-PBE | optimized geometry; spin magnetization = 0.98 μB/atom; volume = 18.9 A^3/atom; formation enthalpy at 0 K = 0.065 eV/atom
1.0
0.000 3.841 3.841
3.841 0.000 3.841
3.841 3.841 0.000
Nd Pu Tc
1 1 4
direct
0.000 0.000 0.000
0.750 0.750 0.750
0.375 0.375 0.375
0.375 0.375 0.875
0.375 0.875 0.375
0.875 0.375 0.375


6.
Pu3Tl2AgO12 | the Alexandria database | GGA-PBE | optimized geometry; VASP energy = -0.29255 Ha/atom; spin magnetization = 0.17 μB/atom; volume = 17.9 A^3/atom
1.0
4.010 2.315 5.786
-4.010 2.315 5.786
0.000 -4.631 5.786
Pu Tl Ag O
3 2 1 12
direct
0.000 0.500 0.500
0.500 0.000 0.500
0.500 0.500 0.000
0.125 0.125 0.125
0.875 0.875 0.875
0.500 0.500 0.500
0.116 0.603 0.603
0.203 0.203 0.583
0.203 0.583 0.203
0.397 0.397 0.884
0.397 0.884 0.397
0.417 0.797 0.797
0.583 0.203 0.203
0.603 0.116 0.603
0.603 0.603 0.116
0.797 0.417 0.797
0.797 0.797 0.417
0.884 0.397 0.397


7.
Be2ReF | the Alexandria database | GGA-PBE | optimized geometry; spin magnetization = 0.00 μB/atom; volume = 12.0 A^3/atom; energy above the lowest structure with this stoichiometry = 0.025 eV per atom
1.0
2.823 0.000 0.000
0.000 3.207 0.000
0.000 0.000 10.592
Be Re F
4 2 2
direct
0.250 0.250 0.170
0.250 0.250 0.697
0.750 0.750 0.303
0.750 0.750 0.830
0.250 0.250 0.921
0.750 0.750 0.079
0.250 0.750 0.385
0.750 0.250 0.615


8.
TbPrCdOs | the Alexandria database | GGA-PBE | optimized geometry; spin magnetization = 0.00 μB/atom; volume = 23.9 A^3/atom; formation enthalpy at 0 K = -0.094 eV/atom
1.0
0.000 3.628 3.628
3.628 0.000 3.628
3.628 3.628 0.000
Tb Pr Cd Os
1 1 1 1
direct
0.000 0.000 0.000
0.500 0.500 0.500
0.250 0.250 0.250
0.750 0.750 0.750


9.
SrCaDyBiO6 | the Alexandria database | GGA-PBE | optimized geometry; spin magnetization = 0.00 μB/atom; volume = 15.7 A^3/atom; energy above the lowest structure with this stoichiometry = 0.148 eV per atom
1.0
0.000 4.281 4.281
4.281 0.000 4.281
4.281 4.281 0.000
Sr Ca Dy Bi O
1 1 1 1 6
direct
0.000 0.000 0.000
0.500 0.500 0.500
0.250 0.250 0.250
0.750 0.750 0.750
0.505 0.505 0.995
0.505 0.995 0.505
0.505 0.995 0.995
0.995 0.505 0.505
0.995 0.505 0.995
0.995 0.995 0.505


10.
Dy3UTl3S8 | the Alexandria database | GGA-PBE | optimized geometry; VASP energy = -0.21359 Ha/atom; spin magnetization = 0.13 μB/atom; volume = 28.2 A^3/atom
1.0
4.013 2.317 7.582
-4.013 2.317 7.582
0.000 -4.634 7.582
Dy U Tl S
3 1 3 8
direct
0.000 0.500 0.500
0.500 0.000 0.500
0.500 0.500 0.000
0.000 0.000 0.000
0.000 0.000 0.500
0.000 0.500 0.000
0.500 0.000 0.000
0.228 0.228 0.737
0.228 0.737 0.228
0.263 0.772 0.772
0.268 0.268 0.268
0.732 0.732 0.732
0.737 0.228 0.228
0.772 0.263 0.772
0.772 0.772 0.263


11.
AcZrGa | the Alexandria database | GGA-PBE | optimized geometry; spin magnetization = 0.00 μB/atom; volume = 27.5 A^3/atom; formation enthalpy at 0 K = -0.307 eV/atom
1.0
3.773 0.000 0.000
0.000 3.778 0.000
-0.017 0.000 11.555
Ac Zr Ga
2 2 2
direct
0.250 0.250 0.138
0.750 0.750 0.862
0.250 0.250 0.424
0.750 0.750 0.576
0.250 0.250 0.675
0.750 0.750 0.325


12.
Si2TcOs | the Alexandria database | GGA-PBE | optimized geometry; spin magnetization = 0.00 μB/atom; volume = 14.0 A^3/atom; energy above the lowest structure with this stoichiometry = 0.412 eV per atom
1.0
1.457 -2.461 0.000
1.457 2.461 0.000
0.000 0.000 7.810
Si Tc Os
2 1 1
direct
0.000 0.000 0.249
0.000 0.000 0.751
0.500 0.500 0.000
0.500 0.500 0.500


Copy entry 1 word for word.
La2DyScSe4 | the Alexandria database | GGA-PBE | optimized geometry; VASP energy = -0.22654 Ha/atom; spin magnetization = 0.00 μB/atom; volume = 25.2 A^3/atom
1.0
7.104 0.000 0.000
0.000 4.077 0.000
-2.347 0.000 6.958
La Dy Sc Se
2 1 1 4
direct
0.000 0.000 0.000
0.500 0.500 0.000
0.000 0.500 0.500
0.500 0.000 0.500
0.249 0.000 0.726
0.267 0.500 0.279
0.733 0.500 0.721
0.751 0.000 0.274


Which formula does entry 10 have?
Dy3UTl3S8


Which value of volume does entry 2 give?
23.9 A^3/atom